A plane-wave DFT calculation with PBE was carried out for TbThIr4 after structural relaxation.

Results
**DFT total energy**: -8.728 eV per atom
**E_form**: -0.82 eV per atom

Unit cell a=7.663 b=7.663 c=7.663 alpha=90.00 beta=90.00 gamma=90.00
Space group F-43m (No. 216)
Asymmetric unit:
Tb (0.000, 0.000, 0.000) (multiplicity 4)
Th (0.250, 0.250, 0.250) (multiplicity 4)
Ir (0.125, 0.125, 0.625) (multiplicity 16)



A plane-wave DFT calculation with PBE was carried out for Tb2Tl8Ir after structural relaxation.

Results
**DFT total energy**: -3.482 eV per atom

Unit cell a=4.770 b=4.770 c=12.367 alpha=90.00 beta=90.00 gamma=90.00
Space group P4/mmm (No. 123)
Asymmetric unit:
Tb (0.000, 0.000, 0.196) (multiplicity 2)
Tl (0.000, 0.500, 0.000) (multiplicity 2)
Tl (0.000, 0.500, 0.374) (multiplicity 4)
Tl (0.500, 0.500, 0.187) (multiplicity 2)
Ir (0.000, 0.000, 0.500) (multiplicity 1)



A plane-wave DFT calculation with PBE was carried out for Tb4Tl5Ir2 after structural relaxation.

Results
**DFT total energy**: -4.835 eV per atom

Unit cell a=7.971 b=3.637 c=9.745 alpha=90.00 beta=94.06 gamma=90.00
Space group P2/m (No. 10)
Asymmetric unit:
Tb (0.188, 0.000, 0.341) (multiplicity 2)
Tb (0.207, 0.000, 0.935) (multiplicity 2)
Tl (0.154, 0.500, 0.637) (multiplicity 2)
Tl (0.460, 0.500, 0.165) (multiplicity 2)
Tl (0.500, 0.500, 0.500) (multiplicity 1)
Ir (0.079, 0.500, 0.137) (multiplicity 2)



A plane-wave DFT calculation with PBE was carried out for TbTmIr after structural relaxation.

Results
**DFT total energy**: -5.844 eV per atom
**E_form**: 0.14 eV per atom

Unit cell a=6.616 b=6.616 c=6.616 alpha=90.00 beta=90.00 gamma=90.00
Space group F-43m (No. 216)
Asymmetric unit:
Tb (0.000, 0.000, 0.000) (multiplicity 4)
Tm (0.250, 0.250, 0.750) (multiplicity 4)
Ir (0.000, 0.000, 0.500) (multiplicity 4)



Quick rundown of density, same order as above: 17.1 12.7 12.0 11.9 Mg/m³